No. 1
! YMgP2 (GGA-PBEsol, relaxed); values from VASP
! Energy relative to the elements: -2.874 eV per formula unit
! Fermi-level density of states: 2.1 states/eV per cell
! Symmetry: No. 122
! Energy: -45.99 eV for the cell shown
&SYSTEM
  ibrav = 0, nat = 8, ntyp = 3
/
ATOMIC_SPECIES
Mg 24.30 Mg.upf
P 30.97 P.upf
Y 88.91 Y.upf
CELL_PARAMETERS angstrom
5.962 -0.058 0.000
-2.318 5.493 0.000
-1.822 -2.718 4.984
ATOMIC_POSITIONS angstrom
Mg 1.822 2.718 0.000
Mg 2.981 -0.029 2.492
P 1.456 1.978 2.384
P -0.545 -0.619 2.600
P 2.436 -0.648 4.877
P 0.297 4.725 0.108
Y 0.000 0.000 0.000
Y -1.159 2.747 2.492

***

No. 2
! La2Ir (GGA-PBEsol, relaxed); values from VASP
! Energy relative to the elements: 2.199 eV per formula unit
! Fermi-level density of states: 7.9 states/eV per cell
! Symmetry: No. 227
! Energy: -36.63 eV for the cell shown
&SYSTEM
  ibrav = 0, nat = 6, ntyp = 2
/
ATOMIC_SPECIES
Ir 192.22 Ir.upf
La 138.91 La.upf
CELL_PARAMETERS angstrom
-3.296 4.409 -2.113
-5.786 0.156 1.123
-2.183 4.068 3.667
ATOMIC_POSITIONS angstrom
Ir -5.632 4.316 1.339
Ir -8.448 6.474 2.008
La -2.499 3.113 2.168
La -3.056 3.284 -0.722
La -4.301 1.157 0.896
La -1.408 1.079 0.335

***

No. 3
! As2IrSeS (GGA-PBEsol, relaxed); values from VASP
! Energy relative to the elements, uncorrected: 112.6 kJ/mol of atoms
! Fermi-level density of states: 2.2 states/eV per cell
! Symmetry: No. 123
! Energy: -22.44 eV for the cell shown
&SYSTEM
  ibrav = 0, nat = 5, ntyp = 4
/
ATOMIC_SPECIES
As 74.92 As.upf
Se 78.96 Se.upf
Ir 192.22 Ir.upf
S 32.06 S.upf
CELL_PARAMETERS angstrom
4.630 0.000 0.000
0.000 4.537 0.000
0.000 0.000 4.537
ATOMIC_POSITIONS angstrom
As 0.000 2.269 0.000
As 0.000 0.000 2.269
Se 2.315 0.000 0.000
Ir 2.315 2.269 2.269
S 0.000 0.000 0.000

***

No. 4
! TeAs (GGA-PBEsol, relaxed); values from VASP
! Energy relative to the elements, uncorrected: 6.6 kJ/mol of atoms
! Fermi-level density of states: 1.9 states/eV per cell
! Symmetry: No. 11
! Energy: -16.99 eV for the cell shown
&SYSTEM
  ibrav = 0, nat = 4, ntyp = 2
/
ATOMIC_SPECIES
As 74.92 As.upf
Te 127.60 Te.upf
CELL_PARAMETERS angstrom
4.063 0.000 0.000
0.000 5.186 -0.478
0.000 -2.984 5.015
ATOMIC_POSITIONS angstrom
As 1.016 0.794 0.456
As 3.047 1.407 4.081
Te 1.016 -0.443 3.072
Te 3.047 2.644 1.465

***

No. 5
! InSeO3 (GGA-PBEsol, relaxed); values from VASP
! Energy relative to the elements, uncorrected: 1.0 kJ/mol of atoms
! Fermi-level density of states: 2.8 states/eV per cell
! Symmetry: No. 221
! Energy: -22.53 eV for the cell shown
&SYSTEM
  ibrav = 0, nat = 5, ntyp = 3
/
ATOMIC_SPECIES
In 114.82 In.upf
Se 78.96 Se.upf
O 16.00 O.upf
CELL_PARAMETERS angstrom
-1.040 2.688 2.896
-3.782 -1.546 0.077
1.146 -2.661 2.882
ATOMIC_POSITIONS angstrom
In 0.000 0.000 0.000
Se -1.838 -0.759 2.927
O -0.520 1.344 1.448
O 0.573 -1.330 1.441
O -1.891 -0.773 0.038

***

No. 6
! FeSnH2 (GGA-PBEsol, relaxed); values from VASP
! Fermi-level density of states: 3.8 states/eV per cell
! Symmetry: No. 141
! Energy: -37.05 eV for the cell shown
&SYSTEM
  ibrav = 0, nat = 8, ntyp = 3
/
ATOMIC_SPECIES
H 1.01 H.upf
Sn 118.71 Sn.upf
Fe 55.84 Fe.upf
CELL_PARAMETERS angstrom
3.808 0.000 0.000
0.000 3.808 0.000
-1.904 -1.904 5.356
ATOMIC_POSITIONS angstrom
H 0.952 0.000 4.017
H 1.904 2.856 1.339
H -0.952 0.000 4.017
H 1.904 0.952 1.339
Sn 0.000 1.904 2.678
Sn 0.000 0.000 0.000
Fe 1.904 1.904 0.000
Fe 1.904 0.000 2.678

***

Q: The lowest Fermi-level density of states belongs to which entry?
A: TeAs

***

Q: Look up the Fermi-level density of states of the second one.
A: 7.9 states/eV per cell

***

Q: Among the records above, which one has the lowest energy?
A: YMgP2